This record from Alexandria describes a geometry-optimized Pm3Ga3Rh2 structure. The functional is GGA-PBE.

```
data_Pm3Ga3Rh2
_chemical_formula_sum 'Pm12 Ga12 Rh8'
_symmetry_space_group_name_H-M 'P n m a'
_symmetry_Int_Tables_number 62
_cell_length_a 8.027
_cell_length_b 15.331
_cell_length_c 5.665
_cell_angle_alpha 90.00
_cell_angle_beta 90.00
_cell_angle_gamma 90.00
loop_
_symmetry_equiv_pos_as_xyz
'x,y,z'
'-x,-y,-z'
'-x+1/2,-y,z+1/2'
'x+1/2,y,-z+1/2'
'x+1/2,-y+1/2,-z+1/2'
'-x+1/2,y+1/2,z+1/2'
'-x,y+1/2,-z'
'x,-y+1/2,z'
loop_
_atom_site_label
_atom_site_type_symbol
_atom_site_fract_x
_atom_site_fract_y
_atom_site_fract_z
Pm1 Pm 0.035 0.107 0.114
Pm2 Pm 0.167 0.250 0.621
Ga1 Ga 0.175 0.037 0.601
Ga2 Ga 0.175 0.750 0.616
Rh1 Rh 0.113 0.607 0.373
```

- energy relative to the lowest polymorph listed for this composition (meV/atom) = 13
- crystal system = orthorhombic
- formation enthalpy at 0 K (meV/atom) = -746

***

This record from Alexandria describes a geometry-optimized CdGa2TeSe6 structure. The functional is GGA-PBE.

```
data_CdGa2TeSe6
_chemical_formula_sum 'Cd4 Ga8 Te4 Se24'
_symmetry_space_group_name_H-M 'C 1 2/c 1'
_symmetry_Int_Tables_number 15
_cell_length_a 13.318
_cell_length_b 11.516
_cell_length_c 7.235
_cell_angle_alpha 90.00
_cell_angle_beta 104.78
_cell_angle_gamma 90.00
loop_
_symmetry_equiv_pos_as_xyz
'x,y,z'
'-x,-y,-z'
'-x,y,-z+1/2'
'x,-y,z+1/2'
'x+1/2,y+1/2,z'
'-x+1/2,-y+1/2,-z'
'-x+1/2,y+1/2,-z+1/2'
'x+1/2,-y+1/2,z+1/2'
loop_
_atom_site_label
_atom_site_type_symbol
_atom_site_fract_x
_atom_site_fract_y
_atom_site_fract_z
Cd1 Cd 0.000 0.119 0.250
Ga1 Ga 0.194 0.410 0.243
Te1 Te 0.000 0.257 0.750
Se1 Se 0.109 0.089 0.641
Se2 Se 0.133 0.427 0.533
Se3 Se 0.146 0.219 0.106
```

- formation energy without anion corrections (meV/atom) = -331
- crystal system = monoclinic

***

This record from Alexandria describes a geometry-optimized K2MgZn3Sn4 structure. The functional is GGA-PBE.

```
data_K2MgZn3Sn4
_chemical_formula_sum 'K2 Mg1 Zn3 Sn4'
_symmetry_space_group_name_H-M 'P -4 m 2'
_symmetry_Int_Tables_number 115
_cell_length_a 4.668
_cell_length_b 4.668
_cell_length_c 12.170
_cell_angle_alpha 90.00
_cell_angle_beta 90.00
_cell_angle_gamma 90.00
loop_
_symmetry_equiv_pos_as_xyz
'x,y,z'
'y,-x,-z'
'-x,-y,z'
'-y,x,-z'
'-x,y,z'
'-y,-x,-z'
'x,-y,z'
'y,x,-z'
loop_
_atom_site_label
_atom_site_type_symbol
_atom_site_fract_x
_atom_site_fract_y
_atom_site_fract_z
K1 K 0.000 0.500 0.248
Mg1 Mg 0.000 0.000 0.500
Zn1 Zn 0.000 0.500 0.859
Zn2 Zn 0.500 0.500 0.500
Sn1 Sn 0.000 0.000 0.000
Sn2 Sn 0.000 0.500 0.638
Sn3 Sn 0.500 0.500 0.000
```

- crystal system = tetragonal
- formation enthalpy at 0 K (meV/atom) = -142

***

This record from Alexandria describes a geometry-optimized Mg15Mo structure. The functional is GGA-PBE.

```
data_Mg15Mo
_chemical_formula_sum 'Mg15 Mo1'
_symmetry_space_group_name_H-M 'P -6 m 2'
_symmetry_Int_Tables_number 187
_symmetry_space_group_name_Hall 'P -6 2'
_cell_length_a 6.2959
_cell_length_b 6.2959
_cell_length_c 10.1514
_cell_angle_alpha 90.00
_cell_angle_beta 90.00
_cell_angle_gamma 120.00
loop_
_atom_site_label
_atom_site_type_symbol
_atom_site_fract_x
_atom_site_fract_y
_atom_site_fract_z
Mg1 Mg 0.0000 0.0000 0.0000
Mg2 Mg 0.0030 0.5015 0.0000
Mg3 Mg 0.1610 0.3221 0.2620
Mg4 Mg 0.5009 0.0017 0.5000
Mg5 Mg 0.6667 0.3333 0.2473
Mo1 Mo 0.0000 0.0000 0.5000
```

- crystal system = hexagonal
- formation enthalpy at 0 K (meV/atom) = 93

***

This record from Alexandria describes a geometry-optimized Na5Cr2H12 structure. The functional is GGA-PBE.

```
data_Na5Cr2H12
_chemical_formula_sum 'Na10 Cr4 H24'
_symmetry_space_group_name_H-M 'C 1 2/m 1'
_symmetry_Int_Tables_number 12
_cell_length_a 10.945
_cell_length_b 6.136
_cell_length_c 5.495
_cell_angle_alpha 90.00
_cell_angle_beta 91.94
_cell_angle_gamma 90.00
loop_
_symmetry_equiv_pos_as_xyz
'x,y,z'
'-x,-y,-z'
'-x,y,-z'
'x,-y,z'
'x+1/2,y+1/2,z'
'-x+1/2,-y+1/2,-z'
'-x+1/2,y+1/2,-z'
'x+1/2,-y+1/2,z'
loop_
_atom_site_label
_atom_site_type_symbol
_atom_site_fract_x
_atom_site_fract_y
_atom_site_fract_z
Na1 Na 0.000 0.000 0.000
Na2 Na 0.132 0.500 0.010
Na3 Na 0.245 0.000 0.487
Cr1 Cr 0.000 0.251 0.500
H1 H 0.049 0.500 0.379
H2 H 0.056 0.000 0.611
H3 H 0.107 0.218 0.279
H4 H 0.121 0.270 0.709
```

- calculated total energy (eV/atom) = -3.546
- crystal system = monoclinic

***

This record from Alexandria describes a geometry-optimized PmDyYCu structure. The functional is GGA-PBE.

```
data_PmDyYCu
_chemical_formula_sum 'Pm1 Dy1 Y1 Cu1'
_symmetry_space_group_name_H-M 'P 4 m m'
_symmetry_Int_Tables_number 99
_cell_length_a 3.523
_cell_length_b 3.523
_cell_length_c 8.733
_cell_angle_alpha 90.00
_cell_angle_beta 90.00
_cell_angle_gamma 90.00
loop_
_symmetry_equiv_pos_as_xyz
'x,y,z'
'-y,x,z'
'-x,-y,z'
'y,-x,z'
'-x,y,z'
'y,x,z'
'x,-y,z'
'-y,-x,z'
loop_
_atom_site_label
_atom_site_type_symbol
_atom_site_fract_x
_atom_site_fract_y
_atom_site_fract_z
Pm1 Pm 0.000 0.000 0.000
Dy1 Dy 0.500 0.500 0.695
Y1 Y 0.500 0.500 0.308
Cu1 Cu 0.000 0.000 0.505
```

- crystal system = tetragonal
- formation enthalpy at 0 K (meV/atom) = -99

***

This record from Alexandria describes a geometry-optimized YMgAg2Pb structure. The functional is GGA-PBE.

```
data_YMgAg2Pb
_chemical_formula_sum 'Y1 Mg1 Ag2 Pb1'
_symmetry_space_group_name_H-M 'P 4/m m m'
_symmetry_Int_Tables_number 123
_symmetry_space_group_name_Hall '-P 4 2'
_cell_length_a 4.890
_cell_length_b 4.890
_cell_length_c 5.681
_cell_angle_alpha 90.00
_cell_angle_beta 90.00
_cell_angle_gamma 90.00
loop_
_atom_site_label
_atom_site_type_symbol
_atom_site_fract_x
_atom_site_fract_y
_atom_site_fract_z
Y1 Y 0.000 0.000 0.000
Mg1 Mg 0.000 0.000 0.500
Ag1 Ag 0.000 0.500 0.500
Pb1 Pb 0.500 0.500 0.000
```

- crystal system = tetragonal
- formation enthalpy at 0 K (meV/atom) = 357